This record from Alexandria via LeMat-Bulk describes a relaxed structure of Ac3PrSm6. The functional is GGA-PBE.

calculated formation energy	378	meV per atom
space group	R-3 (148)

abc: 10.2041 10.2041 7.2833
angles: 45.53 45.53 60.00
Each line ends with the local moment (μB).
Atoms (fractional coordinates):
1 Ac 0.3501 0.3501 0.9498  0.05
2 Ac 0.6090 0.6090 0.1730  0.04
3 Ac 0.0912 0.0912 0.7264  0.04
4 Pr 0.8501 0.8501 0.4498  0.09
5 Sm 0.9251 0.5971 0.2224  0.06
6 Sm 0.2554 0.9251 0.2224  0.06
7 Sm 0.5971 0.2554 0.2224  0.06
8 Sm 0.1029 0.4444 0.6779  0.06
9 Sm 0.7747 0.1029 0.6779  0.06
10 Sm 0.4444 0.7747 0.6779  0.06

This record from Alexandria via LeMat-Bulk describes a relaxed structure of CuH2Ru. The functional is GGA-PBE.

ΔE to the lowest computed polymorph	0.0679	eV per atom
space group	I-42d (122)

abc: 4.1772 4.1772 4.8670
angles: 64.59 64.59 90.00
Atoms (fractional coordinates):
1 Ru 0.0000 0.0000 0.0000
2 Ru 0.7500 0.2500 0.5000
3 Cu 0.5000 0.5000 0.0000
4 Cu 0.2500 0.7500 0.5000
5 H 0.6217 0.1250 0.2500
6 H 0.1283 0.6250 0.2500
7 H 0.3750 0.3783 0.7500
8 H 0.8750 0.8717 0.7500

Calculated volume list, top to bottom, in Å³ per cell: 386, 67